(1)
Compound: Er3Ag4Sn4
Source: OQMD
Functional: PBE
Structure: optimized geometry

Cell and atoms, written as extended XYZ:
```
11
Lattice="-2.271 3.664 7.595 2.271 -3.664 7.595 2.271 3.664 -7.595" Properties=species:S:1:pos:R:3 pbc="T T T"
Er 0.000 3.664 1.925
Er 0.000 0.000 0.000
Er 2.271 0.000 5.670
Sn 2.271 2.216 0.000
Sn 0.000 0.000 3.247
Sn 0.000 1.448 7.595
Sn 0.000 0.000 11.944
Ag 2.271 1.464 -2.613
Ag 2.271 1.464 2.613
Ag 0.000 2.199 4.982
Ag 0.000 2.199 10.208
```

Values from the calculation:
The uncorrected energy is -4.18 eV per atom. Its space-group type is Immm (71). The value obtained for the magnetization is 0.0 μB/cell.

***

(2)
Compound: PmTlB
Source: OQMD
Functional: PBE
Structure: optimized geometry

Cell and atoms, written as extended XYZ:
```
3
Lattice="0.000 3.387 3.387 3.387 0.000 3.387 3.387 3.387 0.000" Properties=species:S:1:pos:R:3 pbc="T T T"
Tl 0.000 0.000 0.000
Pm 1.693 1.693 1.693
B 3.387 3.387 3.387
```

Values from the calculation:
Its space-group type is F-43m (216). The polymorph energy (0 for the lowest one) comes out at 1.98 eV/f.u. The value obtained for the magnetization is 0.0 μB/cell.

***

(3)
Compound: Co2Ir
Source: OQMD
Functional: PBE
Structure: optimized geometry

Cell and atoms, written as extended XYZ:
```
3
Lattice="-0.998 -3.508 1.564 -3.634 -0.542 1.498 -2.592 -2.345 -1.879" Properties=species:S:1:pos:R:3 pbc="T T T"
Co -1.806 -1.599 0.296
Co -5.418 -4.796 0.888
Ir 0.000 0.000 0.000
```

Values from the calculation:
Its space-group type is Fm-3m (225). The polymorph energy (0 for the lowest one) comes out at 1.35 eV/f.u. The value obtained for the magnetization is 3.6 μB/cell. For the formation enthalpy at 0 K, the calculation gives 589 meV per atom.

***

(4)
Compound: Zr2AgAu
Source: OQMD
Functional: PBE
Structure: optimized geometry

Cell and atoms, written as extended XYZ:
```
8
Lattice="-3.393 -0.294 -3.647 0.938 -4.879 -0.479 -4.594 -1.313 4.381" Properties=species:S:1:pos:R:3 pbc="T T T"
Zr -2.253 -1.764 0.532
Zr -3.124 -4.586 1.570
Zr -3.482 -4.346 -1.530
Zr -5.290 -2.290 -0.014
Ag -2.856 -1.592 -2.335
Ag -0.689 -3.892 -0.752
Au -5.868 -5.026 0.745
Au -4.638 -2.447 2.807
```

Values from the calculation:
Its space-group type is Pma2 (28). The value obtained for the magnetization is 0.0 μB/cell. For the formation enthalpy at 0 K, the calculation gives -338 meV per atom.

***

(5)
Compound: Tb2SmP3
Source: OQMD
Functional: PBE
Structure: optimized geometry

Cell and atoms, written as extended XYZ:
```
6
Lattice="-3.677 -0.959 -1.414 2.832 -2.874 0.397 -3.098 -1.775 9.259" Properties=species:S:1:pos:R:3 pbc="T T T"
Tb -1.925 -3.718 7.525
Tb -2.018 -1.890 0.716
P -3.585 -2.788 5.399
P 0.000 0.000 0.000
P -0.358 -2.820 2.842
Sm -1.549 -0.888 4.629
```

Values from the calculation:
The uncorrected energy is -6.63 eV per atom. Its space-group type is P-3m1 (164). The value obtained for the magnetization is 0.0 μB/cell.

***

(6)
Compound: AcTbB4
Source: OQMD
Functional: PBE
Structure: optimized geometry

Cell and atoms, written as extended XYZ:
```
6
Lattice="-1.687 2.877 4.231 1.687 -2.877 4.231 1.687 2.877 -4.231" Properties=species:S:1:pos:R:3 pbc="T T T"
Ac 0.000 0.000 4.231
B 1.687 0.941 2.093
B 0.000 3.818 2.137
B 0.000 1.936 2.137
B 1.687 -0.941 2.093
Tb 0.000 0.000 0.000
```

Values from the calculation:
Its space-group type is Immm (71). The polymorph energy (0 for the lowest one) comes out at 0.49 eV/f.u. The value obtained for the magnetization is 0.0 μB/cell.

***

(7)
Compound: PtS2
Source: OQMD
Functional: PBE
Structure: optimized geometry

Cell and atoms, written as extended XYZ:
```
3
Lattice="2.753 0.000 0.000 0.000 3.855 2.234 0.000 -3.855 2.234" Properties=species:S:1:pos:R:3 pbc="T T T"
S 1.376 -1.289 2.235
S 1.376 1.289 2.235
Pt 0.000 0.000 4.468
```

Values from the calculation:
The uncorrected energy is -3.84 eV per atom. Its space-group type is Cmmm (65). The value obtained for the magnetization is 0.0 μB/cell.

***

(8)
Compound: AcPOsO
Source: OQMD
Functional: PBE
Structure: optimized geometry

Cell and atoms, written as extended XYZ:
```
8
Lattice="4.509 0.000 0.000 0.000 4.509 0.000 0.000 0.000 6.905" Properties=species:S:1:pos:R:3 pbc="T T T"
O 1.127 3.382 0.000
O 3.382 1.127 0.000
P 3.382 3.382 1.400
P 1.127 1.127 5.505
Ac 1.127 3.382 3.453
Ac 3.382 1.127 3.453
Os 3.382 3.382 6.058
Os 1.127 1.127 0.847
```

Values from the calculation:
Its space-group type is P4/nmm (129). The polymorph energy (0 for the lowest one) comes out at 9.09 eV/f.u. The value obtained for the magnetization is 0.0 μB/cell.